P.
TmScNiOs after structural relaxation. Source: Alexandria, functional GGA-PBE.

D(E_F) (states/eV per cell): 1.355
Density (g/cm³): 10.94
Symmetry: P4mm (99)

Unit cell a=3.2978 b=3.2978 c=6.4617 alpha=90.00 beta=90.00 gamma=90.00
Fractional coordinates of all 4 atoms:
Tm: 0.0000 0.0000 0.0000
Sc: 0.0000 0.0000 0.5040
Ni: 0.5000 0.5000 0.2646
Os: 0.5000 0.5000 0.7358

---

Q.
TmScNiOs after structural relaxation. Source: Alexandria, functional GGA-PBE.

D(E_F) (states/eV per cell): 1.617
Density (g/cm³): 10.96
Symmetry: F-43m (216)

Unit cell a=4.6288 b=4.6288 c=4.6288 alpha=60.00 beta=60.00 gamma=60.00
Fractional coordinates of all 4 atoms:
Tm: 0.0000 0.0000 0.0000
Sc: 0.5000 0.5000 0.5000
Ni: 0.2500 0.2500 0.2500
Os: 0.7500 0.7500 0.7500

---

P has the most favorable energy; the next structure is 0.008 eV/atom above.

---

P.
NiOsSe after structural relaxation. Source: Alexandria, functional GGA-PBE.

D(E_F) (states/eV per cell): 4.236
Density (g/cm³): 12.73
Symmetry: I4mm (107)

Unit cell a=5.2938 b=5.2938 c=5.2938 alpha=147.46 beta=147.46 gamma=46.68
Fractional coordinates of all 3 atoms:
Ni: 0.0000 0.0000 0.0000
Os: 0.6694 0.6694 0.0000
Se: 0.3251 0.3251 0.0000

---

Q.
NiOsSe after structural relaxation. Source: Alexandria, functional GGA-PBE.

D(E_F) (states/eV per cell): 2.403
Density (g/cm³): 11.96
Symmetry: F-43m (216)

Unit cell a=4.0082 b=4.0082 c=4.0082 alpha=60.00 beta=60.00 gamma=60.00
Fractional coordinates of all 3 atoms:
Ni: 0.0000 0.0000 0.0000
Os: 0.5000 0.5000 0.5000
Se: 0.7500 0.7500 0.7500

---

P has the most favorable energy; the next structure is 0.053 eV/atom above.

---

P.
NiOsSe after structural relaxation. Source: Alexandria, functional GGA-PBE.

D(E_F) (states/eV per cell): 2.144
Density (g/cm³): 12.70
Symmetry: P3m1 (156)

Unit cell a=2.9168 b=2.9168 c=5.8167 alpha=90.00 beta=90.00 gamma=120.00
Fractional coordinates of all 3 atoms:
Ni: 0.0000 0.0000 0.0000
Os: 0.6667 0.3333 0.3421
Se: 0.3333 0.6667 0.6761

---

Q.
NiOsSe after structural relaxation. Source: Alexandria, functional GGA-PBE.

D(E_F) (states/eV per cell): 1.945
Density (g/cm³): 11.18
Symmetry: F-43m (216)

Unit cell a=4.0986 b=4.0986 c=4.0986 alpha=60.00 beta=60.00 gamma=60.00
Fractional coordinates of all 3 atoms:
Ni: 0.0000 0.0000 0.0000
Os: 0.2500 0.2500 0.2500
Se: 0.5000 0.5000 0.5000

---

R.
NiOsSe after structural relaxation. Source: Alexandria, functional GGA-PBE.

D(E_F) (states/eV per cell): 3.620
Density (g/cm³): 11.26
Symmetry: Fmm2 (42)

Unit cell a=7.9256 b=7.6805 c=2.7293 alpha=85.04 beta=74.90 gamma=20.06
Fractional coordinates of all 3 atoms:
Ni: 0.0000 0.0000 0.0000
Os: 0.3616 0.3616 0.6384
Se: 0.6365 0.6365 0.3635

---

Q has the most favorable energy; the next structure is 0.013 eV/atom above.

---

P.
NiOsSe2 after structural relaxation. Source: Alexandria, functional GGA-PBE.

D(E_F) (states/eV per cell): 1.893
Density (g/cm³): 8.70
Symmetry: Cm (8)

Unit cell a=3.9998 b=3.9998 c=6.8109 alpha=97.18 beta=97.18 gamma=46.01
Fractional coordinates of all 4 atoms:
Ni: 0.0000 0.0000 0.0000
Os: 0.7440 0.7440 0.2282
Se: 0.2820 0.2820 0.9134
Se: 0.4694 0.4694 0.4146

---

Q.
NiOsSe2 after structural relaxation. Source: Alexandria, functional GGA-PBE.

D(E_F) (states/eV per cell): 5.134
Density (g/cm³): 10.70
Symmetry: C2/m (12)

Unit cell a=4.0699 b=4.0699 c=5.4807 alpha=101.17 beta=101.17 gamma=45.32
Fractional coordinates of all 4 atoms:
Ni: 0.0000 0.0000 0.0000
Os: 0.5000 0.5000 0.5000
Se: 0.2416 0.2416 0.7485
Se: 0.7584 0.7584 0.2515

---

R.
NiOsSe2 after structural relaxation. Source: Alexandria, functional GGA-PBE.

D(E_F) (states/eV per cell): 4.093
Density (g/cm³): 10.72
Symmetry: Imm2 (44)

Unit cell a=5.4538 b=5.4538 c=5.4538 alpha=148.15 beta=132.06 gamma=58.71
Fractional coordinates of all 4 atoms:
Ni: 0.0000 0.0000 0.0000
Os: 0.2643 0.7643 0.5000
Se: 0.4774 0.4774 0.0000
Se: 0.7630 0.2630 0.5000

---

S.
NiOsSe2 after structural relaxation. Source: Alexandria, functional GGA-PBE.

D(E_F) (states/eV per cell): 6.208
Density (g/cm³): 10.62
Symmetry: Pmmm (47)

Unit cell a=2.9937 b=4.1228 c=5.1519 alpha=90.00 beta=90.00 gamma=90.00
Fractional coordinates of all 4 atoms:
Ni: 0.0000 0.0000 0.0000
Os: 0.5000 0.0000 0.5000
Se: 0.0000 0.5000 0.5000
Se: 0.5000 0.5000 0.0000

---

P has the most favorable energy; the next structure is 0.235 eV/atom above.

---

P.
NiOsSe2 after structural relaxation. Source: Alexandria, functional GGA-PBE.

D(E_F) (states/eV per cell): 2.846
Density (g/cm³): 9.16
Symmetry: P4mm (99)

Unit cell a=3.1171 b=3.1171 c=7.5895 alpha=90.00 beta=90.00 gamma=90.00
Fractional coordinates of all 4 atoms:
Ni: 0.0000 0.0000 0.0000
Os: 0.5000 0.5000 0.2262
Se: 0.0000 0.0000 0.4028
Se: 0.5000 0.5000 0.8808

---

Q.
NiOsSe2 after structural relaxation. Source: Alexandria, functional GGA-PBE.

D(E_F) (states/eV per cell): 3.537
Density (g/cm³): 10.96
Symmetry: R-3m (166)

Unit cell a=7.5044 b=7.5044 c=7.5044 alpha=24.04 beta=24.04 gamma=24.04
Fractional coordinates of all 4 atoms:
Ni: 0.0000 0.0000 0.0000
Os: 0.5000 0.5000 0.5000
Se: 0.2539 0.2539 0.2539
Se: 0.7461 0.7461 0.7461

---

R.
NiOsSe2 after structural relaxation. Source: Alexandria, functional GGA-PBE.

D(E_F) (states/eV per cell): 4.461
Density (g/cm³): 9.59
Symmetry: Cmm2 (35)

Unit cell a=2.8586 b=2.8586 c=9.7248 alpha=90.00 beta=90.00 gamma=117.59
Fractional coordinates of all 4 atoms:
Ni: 0.0000 0.0000 0.0000
Os: 0.5000 0.5000 0.2174
Se: 0.0000 0.0000 0.4269
Se: 0.5000 0.5000 0.8089

---

P has the most favorable energy; the next structure is 0.189 eV/atom above.

---

P.
NiOsSe2 after structural relaxation. Source: Alexandria, functional GGA-PBE.

D(E_F) (states/eV per cell): 3.438
Density (g/cm³): 11.04
Symmetry: I-4m2 (119)

Unit cell a=5.0933 b=5.0933 c=5.0933 alpha=136.79 beta=136.79 gamma=62.77
Fractional coordinates of all 4 atoms:
Ni: 0.0000 0.0000 0.0000
Os: 0.2500 0.7500 0.5000
Se: 0.5000 0.5000 0.0000
Se: 0.7500 0.2500 0.5000

---

Q.
NiOsSe2 after structural relaxation. Source: Alexandria, functional GGA-PBE.

D(E_F) (states/eV per cell): 3.245
Density (g/cm³): 11.24
Symmetry: P4/mmm (123)

Unit cell a=3.0825 b=3.0825 c=6.3236 alpha=90.00 beta=90.00 gamma=90.00
Fractional coordinates of all 4 atoms:
Ni: 0.0000 0.0000 0.0000
Os: 0.0000 0.0000 0.5000
Se: 0.5000 0.5000 0.2452
Se: 0.5000 0.5000 0.7548

---

R.
NiOsSe2 after structural relaxation. Source: Alexandria, functional GGA-PBE.

D(E_F) (states/eV per cell): 5.583
Density (g/cm³): 10.62
Symmetry: Cmmm (65)

Unit cell a=3.0097 b=3.0097 c=8.2093 alpha=90.00 beta=90.00 gamma=121.16
Fractional coordinates of all 4 atoms:
Ni: 0.0000 0.0000 0.0000
Os: 0.0000 0.0000 0.5000
Se: 0.5000 0.5000 0.2422
Se: 0.5000 0.5000 0.7578

---

S.
NiOsSe2 after structural relaxation. Source: Alexandria, functional GGA-PBE.

D(E_F) (states/eV per cell): 2.301
Density (g/cm³): 11.30
Symmetry: Fm-3m (225)

Unit cell a=4.3890 b=4.3890 c=4.3890 alpha=60.00 beta=60.00 gamma=60.00
Fractional coordinates of all 4 atoms:
Ni: 0.0000 0.0000 0.0000
Os: 0.5000 0.5000 0.5000
Se: 0.2500 0.2500 0.2500
Se: 0.7500 0.7500 0.7500

---

S has the most favorable energy; the next structure is 0.009 eV/atom above.

---

P.
Ni3OsSe after structural relaxation. Source: Alexandria, functional GGA-PBE.

D(E_F) (states/eV per cell): 8.263
Density (g/cm³): 8.02
Symmetry: Pm-3m (221)

Unit cell a=4.5183 b=4.5183 c=4.5183 alpha=90.00 beta=90.00 gamma=90.00
Fractional coordinates of all 5 atoms:
Ni: 0.0000 0.0000 0.5000
Ni: 0.0000 0.5000 0.0000
Ni: 0.5000 0.0000 0.0000
Os: 0.0000 0.0000 0.0000
Se: 0.5000 0.5000 0.5000

---

Q.
Ni3OsSe after structural relaxation. Source: Alexandria, functional GGA-PBE.

D(E_F) (states/eV per cell): 5.612
Density (g/cm³): 9.53
Symmetry: Pm-3m (221)

Unit cell a=4.2644 b=4.2644 c=4.2644 alpha=90.00 beta=90.00 gamma=90.00
Fractional coordinates of all 5 atoms:
Ni: 0.0000 0.0000 0.5000
Ni: 0.0000 0.5000 0.0000
Ni: 0.5000 0.0000 0.0000
Os: 0.5000 0.5000 0.5000
Se: 0.0000 0.0000 0.0000

---

Q has the most favorable energy; the next structure is 0.307 eV/atom above.

---

P.
NiSnOs3 after structural relaxation. Source: Alexandria, functional GGA-PBE.

D(E_F) (states/eV per cell): 7.725
Density (g/cm³): 13.86
Symmetry: Pm-3m (221)

Unit cell a=4.4755 b=4.4755 c=4.4755 alpha=90.00 beta=90.00 gamma=90.00
Fractional coordinates of all 5 atoms:
Ni: 0.0000 0.0000 0.0000
Sn: 0.5000 0.5000 0.5000
Os: 0.0000 0.0000 0.5000
Os: 0.0000 0.5000 0.0000
Os: 0.5000 0.0000 0.0000

---

Q.
NiSnOs3 after structural relaxation. Source: Alexandria, functional GGA-PBE.

D(E_F) (states/eV per cell): 11.544
Density (g/cm³): 11.22
Symmetry: Pm-3m (221)

Unit cell a=4.8021 b=4.8021 c=4.8021 alpha=90.00 beta=90.00 gamma=90.00
Fractional coordinates of all 5 atoms:
Ni: 0.0000 0.0000 0.0000
Sn: 0.5000 0.5000 0.5000
Os: 0.0000 0.5000 0.5000
Os: 0.5000 0.0000 0.5000
Os: 0.5000 0.5000 0.0000

---

P has the most favorable energy; the next structure is 1.307 eV/atom above.

---

P.
SrNiOs3 after structural relaxation. Source: Alexandria, functional GGA-PBE.

D(E_F) (states/eV per cell): 15.048
Density (g/cm³): 10.82
Symmetry: Pm-3m (221)

Unit cell a=4.7924 b=4.7924 c=4.7924 alpha=90.00 beta=90.00 gamma=90.00
Fractional coordinates of all 5 atoms:
Sr: 0.0000 0.0000 0.0000
Ni: 0.5000 0.5000 0.5000
Os: 0.0000 0.0000 0.5000
Os: 0.0000 0.5000 0.0000
Os: 0.5000 0.0000 0.0000

---

Q.
SrNiOs3 after structural relaxation. Source: Alexandria, functional GGA-PBE.

D(E_F) (states/eV per cell): 9.644
Density (g/cm³): 12.35
Symmetry: Pm-3m (221)

Unit cell a=4.5854 b=4.5854 c=4.5854 alpha=90.00 beta=90.00 gamma=90.00
Fractional coordinates of all 5 atoms:
Sr: 0.0000 0.0000 0.0000
Ni: 0.5000 0.5000 0.5000
Os: 0.0000 0.5000 0.5000
Os: 0.5000 0.0000 0.5000
Os: 0.5000 0.5000 0.0000

---

Q has the most favorable energy; the next structure is 2.389 eV/atom above.

---

P.
Sr2NiOs2 after structural relaxation. Source: Alexandria, functional GGA-PBE.

D(E_F) (states/eV per cell): 8.083
Density (g/cm³): 8.23
Symmetry: P4/mbm (127)

Unit cell a=9.1845 b=9.1845 c=2.9395 alpha=90.00 beta=90.00 gamma=90.00
Fractional coordinates of all 10 atoms:
Sr: 0.1965 0.3035 0.0000
Sr: 0.3035 0.8035 0.0000
Sr: 0.6965 0.1965 0.0000
Sr: 0.8035 0.6965 0.0000
Ni: 0.0000 0.0000 0.0000
Ni: 0.5000 0.5000 0.0000
Os: 0.0871 0.5871 0.5000
Os: 0.4129 0.0871 0.5000
Os: 0.5871 0.9129 0.5000
Os: 0.9129 0.4129 0.5000

---

Q.
Sr2NiOs2 after structural relaxation. Source: Alexandria, functional GGA-PBE.

D(E_F) (states/eV per cell): 4.304
Density (g/cm³): 8.64
Symmetry: I4/mmm (139)

Unit cell a=9.5632 b=9.5632 c=9.5632 alpha=158.43 beta=158.43 gamma=30.69
Fractional coordinates of all 5 atoms:
Sr: 0.1010 0.1010 0.0000
Sr: 0.8990 0.8990 0.0000
Ni: 0.5000 0.5000 0.0000
Os: 0.2500 0.7500 0.5000
Os: 0.7500 0.2500 0.5000

---

Q has the most favorable energy; the next structure is 0.672 eV/atom above.

---

P.
TaNi2Os after structural relaxation. Source: Alexandria, functional GGA-PBE.

D(E_F) (states/eV per cell): 9.825
Density (g/cm³): 13.64
Symmetry: I-42d (122)

Unit cell a=9.2555 b=9.2555 c=9.2555 alpha=157.20 beta=157.20 gamma=32.47
Fractional coordinates of all 8 atoms:
Ta: 0.0000 0.0000 0.0000
Ta: 0.7500 0.2500 0.5000
Ni: 0.1411 0.6250 0.0161
Ni: 0.3750 0.3911 0.5161
Ni: 0.6089 0.1250 0.9839
Ni: 0.8750 0.8589 0.4839
Os: 0.2500 0.7500 0.5000
Os: 0.5000 0.5000 0.0000

---

Q.
TaNi2Os after structural relaxation. Source: Alexandria, functional GGA-PBE.

D(E_F) (states/eV per cell): 6.360
Density (g/cm³): 14.93
Symmetry: I-4m2 (119)

Unit cell a=4.6262 b=4.6262 c=4.6262 alpha=131.53 beta=131.53 gamma=70.97
Fractional coordinates of all 4 atoms:
Ta: 0.0000 0.0000 0.0000
Ni: 0.5000 0.5000 0.0000
Ni: 0.7500 0.2500 0.5000
Os: 0.2500 0.7500 0.5000

---

Q has the most favorable energy; the next structure is 0.498 eV/atom above.

---

P.
Ta3NiOs after structural relaxation. Source: Alexandria, functional GGA-PBE.

D(E_F) (states/eV per cell): 6.565
Density (g/cm³): 11.82
Symmetry: Pm-3m (221)

Unit cell a=4.8092 b=4.8092 c=4.8092 alpha=90.00 beta=90.00 gamma=90.00
Fractional coordinates of all 5 atoms:
Ta: 0.0000 0.0000 0.5000
Ta: 0.0000 0.5000 0.0000
Ta: 0.5000 0.0000 0.0000
Ni: 0.5000 0.5000 0.5000
Os: 0.0000 0.0000 0.0000

---

Q.
Ta3NiOs after structural relaxation. Source: Alexandria, functional GGA-PBE.

D(E_F) (states/eV per cell): 4.734
Density (g/cm³): 14.28
Symmetry: Pm-3m (221)

Unit cell a=4.5151 b=4.5151 c=4.5151 alpha=90.00 beta=90.00 gamma=90.00
Fractional coordinates of all 5 atoms:
Ta: 0.0000 0.0000 0.5000
Ta: 0.0000 0.5000 0.0000
Ta: 0.5000 0.0000 0.0000
Ni: 0.0000 0.0000 0.0000
Os: 0.5000 0.5000 0.5000

---

Q has the most favorable energy; the next structure is 0.388 eV/atom above.